# 1
Compound: La3PrRu
Source: Alexandria
Functional: PBE
Structure: relaxed

a = 7.5898 Å, b = 7.5898 Å, c = 7.6530 Å
α = 108.66°, β = 110.86°, γ = 108.57°
Last column: nearest neighbours and their distance in Å.
Fractional coordinates of all 10 atoms:
La 0.8354 0.0426 0.2900  1 Ru 2.69
La 0.2474 0.4546 0.2900  1 Ru 2.69
La 0.7526 0.5454 0.7100  1 Ru 2.69
La 0.7106 0.4575 0.1681  1 Ru 2.64
La 0.1646 0.9574 0.7100  1 Ru 2.69
La 0.2894 0.5425 0.8319  1 Ru 2.64
Pr 0.7063 0.0475 0.7538  1 Ru 2.83
Pr 0.2937 0.9525 0.2462  1 Ru 2.83
Ru 0.6191 0.7420 0.3611  3 La 2.64-2.69, 1 Pr 2.83
Ru 0.3809 0.2580 0.6389  3 La 2.64-2.69, 1 Pr 2.83

Summary:
V = 170.3 Å³/f.u.
ΔE_f = -0.198 eV per atom
Energy above the lowest structure with this stoichiometry = 0.0 meV/atom
Calculated total energy = -5.9652 eV/atom
Symmetry = C2/m

# 2
Compound: Sn3HgSe3
Source: Alexandria
Functional: PBE
Structure: relaxed

a = 9.3369 Å, b = 9.3369 Å, c = 8.1137 Å
α = 54.87°, β = 54.87°, γ = 60.00°
Last column: nearest neighbours and their distance in Å.
Fractional coordinates of all 14 atoms:
Sn 0.2407 0.5644 0.2699  3 Se 2.79-2.88
Sn 0.9250 0.2407 0.2699  3 Se 2.79-2.88
Sn 0.5644 0.9250 0.2699  3 Se 2.79-2.88
Sn 0.4356 0.0750 0.7301  3 Se 2.79-2.88
Sn 0.0750 0.7593 0.7301  3 Se 2.79-2.88
Sn 0.7593 0.4356 0.7301  3 Se 2.79-2.88
Hg 0.4048 0.4048 0.7856  3 Sn 3.21, 3 Se 3.42, 1 Hg 3.46
Hg 0.5952 0.5952 0.2144  3 Sn 3.21, 3 Se 3.42, 1 Hg 3.46
Se 0.4799 0.7543 0.7349  3 Sn 2.79-2.88
Se 0.7543 0.0309 0.7349  3 Sn 2.79-2.88
Se 0.0309 0.4799 0.7349  3 Sn 2.79-2.88
Se 0.9691 0.5201 0.2651  3 Sn 2.79-2.88
Se 0.2457 0.9691 0.2651  3 Sn 2.79-2.88
Se 0.5201 0.2457 0.2651  3 Sn 2.79-2.88

Summary:
Formation energy without anion corrections = -0.273 eV per atom
V = 228.9 Å³/f.u.
Energy above the lowest structure with this stoichiometry = 16.6 meV/atom
Calculated total energy = -3.5246 eV/atom
Symmetry = R-3

# 3
Compound: SrCrPd
Source: Alexandria
Functional: PBE
Structure: relaxed

a = 5.4012 Å, b = 5.4012 Å, c = 9.5378 Å
α = 90.00°, β = 90.00°, γ = 120.00°
Last column: nearest neighbours and their distance in Å.
Fractional coordinates of all 6 atoms:
Sr 0.3333 0.6667 0.2500  3 Cr 3.12
Sr 0.6667 0.3333 0.7500  3 Cr 3.12
Pd 0.0000 0.0000 0.0000  2 Cr 2.38
Pd 0.0000 0.0000 0.5000  2 Cr 2.38
Cr 0.0000 0.0000 0.2500  2 Pd 2.38
Cr 0.0000 0.0000 0.7500  2 Pd 2.38

Summary:
V = 120.5 Å³/f.u.
ΔE_f = 0.949 eV per atom
Energy above the lowest structure with this stoichiometry = 949.5 meV/atom
Calculated total energy = -4.5503 eV/atom
Symmetry = P6_3/mmc

# 4
Compound: ScIr2I
Source: Alexandria
Functional: PBE
Structure: relaxed

a = 5.2669 Å, b = 5.2669 Å, c = 8.0108 Å
α = 70.81°, β = 70.81°, γ = 90.00°
Last column: nearest neighbours and their distance in Å.
Fractional coordinates of all 8 atoms:
I 0.0000 0.0000 0.0000  4 Ir 2.54
I 0.7500 0.2500 0.5000  4 Ir 2.54
Sc 0.5000 0.5000 0.0000  4 Ir 2.60
Sc 0.2500 0.7500 0.5000  4 Ir 2.60
Ir 0.6365 0.1250 0.2500  2 I 2.54, 2 Sc 2.60
Ir 0.1135 0.6250 0.2500  2 I 2.54, 2 Sc 2.60
Ir 0.3750 0.3635 0.7500  2 I 2.54, 2 Sc 2.60
Ir 0.8750 0.8865 0.7500  2 I 2.54, 2 Sc 2.60

Summary:
Formation energy without anion corrections = 0.543 eV per atom
V = 98.4 Å³/f.u.
Energy above the lowest structure with this stoichiometry = 219.5 meV/atom
Calculated total energy = -5.8576 eV/atom
Symmetry = I-42d

# 5
Compound: Zn2MoCl
Source: Alexandria
Functional: PBE
Structure: relaxed

a = 5.3932 Å, b = 2.7332 Å, c = 5.3653 Å
α = 59.23°, β = 90.00°, γ = 90.00°
Last column: nearest neighbours and their distance in Å.
Fractional coordinates of all 4 atoms:
Cl 0.5000 0.2500 0.2500  2 Mo 2.30
Mo 0.5000 0.7500 0.7500  2 Cl 2.30
Zn 0.0000 0.2392 0.9947  6 Zn 2.60-2.77
Zn 0.0000 0.2608 0.5053  6 Zn 2.60-2.77

Summary:
Formation energy without anion corrections = 0.340 eV per atom
V = 68.0 Å³/f.u.
Energy above the lowest structure with this stoichiometry = 259.1 meV/atom
Calculated total energy = -3.4665 eV/atom
Symmetry = P2/m

# 6
Compound: AcLaPr
Source: Alexandria
Functional: PBE
Structure: relaxed

a = 3.8306 Å, b = 3.8306 Å, c = 9.2881 Å
α = 90.00°, β = 90.00°, γ = 120.00°
Last column: nearest neighbours and their distance in Å.
Fractional coordinates of all 3 atoms:
Pr 0.6667 0.3333 0.3382  3 La 3.73, 6 Pr 3.83, 3 Ac 3.84
Ac 0.0000 0.0000 0.0007  6 Ac 3.83, 3 Pr 3.84, 3 La 3.85
La 0.3333 0.6667 0.6611  3 Pr 3.73, 6 La 3.83, 3 Ac 3.85

Summary:
V = 118.0 Å³/f.u.
ΔE_f = 0.025 eV per atom
Energy above the lowest structure with this stoichiometry = 5.2 meV/atom
Calculated total energy = -4.5799 eV/atom
Symmetry = P3m1

# 7
Compound: Ca2PPt6
Source: Alexandria
Functional: PBE
Structure: relaxed

a = 5.6461 Å, b = 5.6574 Å, c = 6.0044 Å
α = 76.77°, β = 90.00°, γ = 119.93°
Last column: nearest neighbours and their distance in Å.
Fractional coordinates of all 9 atoms:
Ca 0.6393 0.2787 0.1581  9 Pt 2.93-3.11
Ca 0.3607 0.7213 0.8419  9 Pt 2.93-3.11
P 0.0000 0.0000 0.0000  6 Pt 2.37-2.41
Pt 0.8820 0.2731 0.6998  1 P 2.41
Pt 0.8818 0.7636 0.7035  1 P 2.37
Pt 0.3911 0.2731 0.6998  1 P 2.41
Pt 0.1180 0.7269 0.3002  1 P 2.41
Pt 0.1182 0.2364 0.2965  1 P 2.37
Pt 0.6089 0.7269 0.3002  1 P 2.41

Summary:
V = 160.3 Å³/f.u.
ΔE_f = -0.781 eV per atom
Calculated total energy = -5.8545 eV/atom
Symmetry = C2/m

# 8
Compound: Ca3Au2N
Source: Alexandria
Functional: PBE
Structure: relaxed

a = 6.6061 Å, b = 6.6926 Å, c = 6.6926 Å
α = 103.25°, β = 90.00°, γ = 90.00°
Last column: nearest neighbours and their distance in Å.
Fractional coordinates of all 12 atoms:
Ca 0.0000 0.1499 0.8501  2 N 2.35
Ca 0.5000 0.1499 0.8501  2 N 2.35
Ca 0.2500 0.6645 0.6645  1 N 2.22
Ca 0.7500 0.3355 0.3355  1 N 2.22
Ca 0.5000 0.8501 0.1499  2 N 2.35
Ca 0.0000 0.8501 0.1499  2 N 2.35
Au 0.7500 0.5357 0.8045  1 Au 2.82, 3 Ca 3.12-3.14
Au 0.2500 0.1955 0.4643  1 Au 2.82, 3 Ca 3.12-3.14
Au 0.2500 0.4643 0.1955  1 Au 2.82, 3 Ca 3.12-3.14
Au 0.7500 0.8045 0.5357  1 Au 2.82, 3 Ca 3.12-3.14
N 0.2500 0.9316 0.9316  5 Ca 2.22-2.35
N 0.7500 0.0684 0.0684  5 Ca 2.22-2.35

Summary:
Formation energy without anion corrections = -0.722 eV per atom
V = 144.0 Å³/f.u.
Energy above the lowest structure with this stoichiometry = 0.0 meV/atom
Calculated total energy = -4.2024 eV/atom
Symmetry = Cmcm

# 9
Compound: WBrCl2
Source: Alexandria
Functional: PBE
Structure: relaxed

a = 3.7001 Å, b = 6.8922 Å, c = 6.8946 Å
α = 44.78°, β = 90.00°, γ = 90.00°
Last column: nearest neighbours and their distance in Å.
Fractional coordinates of all 4 atoms:
Br 0.5000 0.7500 0.7500  2 W 2.63
W 0.5000 0.2500 0.2500  4 Cl 2.47, 2 Br 2.63
Cl 0.0000 0.1220 0.1221  2 W 2.47
Cl 0.0000 0.3780 0.3779  2 W 2.47

Summary:
Formation energy without anion corrections = -0.314 eV per atom
V = 123.9 Å³/f.u.
Energy above the lowest structure with this stoichiometry = 33.2 meV/atom
Calculated total energy = -4.8937 eV/atom
Symmetry = Cmmm

# 10
Compound: Ac12Nd5Dy
Source: Alexandria
Functional: PBE
Structure: relaxed

a = 11.6773 Å, b = 11.6450 Å, c = 6.7112 Å
α = 73.78°, β = 90.00°, γ = 59.91°
Last column: nearest neighbours and their distance in Å.
Fractional coordinates of all 18 atoms:
Ac 0.8366 0.0002 0.5000  7 Ac 3.81-3.92, 3 Nd 3.86-3.93, 2 Dy 3.86
Ac 0.1631 0.0002 0.5000  7 Ac 3.81-3.92, 3 Nd 3.86-3.93, 2 Dy 3.86
Ac 0.6654 0.9997 0.0000  7 Ac 3.86-3.91, 4 Nd 3.87, 1 Dy 3.91
Ac 0.3349 0.9997 0.0000  7 Ac 3.86-3.91, 4 Nd 3.87, 1 Dy 3.91
Ac 0.3302 0.6674 0.9999  7 Ac 3.83-3.93, 4 Nd 3.85-3.92, 1 Dy 3.86
Ac 0.0024 0.6674 0.9999  7 Ac 3.83-3.93, 4 Nd 3.85-3.92, 1 Dy 3.86
Ac 0.9979 0.3321 0.0000  7 Ac 3.83-3.93, 4 Nd 3.85-3.92, 1 Dy 3.86
Ac 0.6700 0.3321 0.0000  7 Ac 3.83-3.93, 4 Nd 3.85-3.92, 1 Dy 3.86
Ac 0.4975 0.3337 0.4991  7 Ac 3.84-3.92, 5 Nd 3.86-3.92
Ac 0.8310 0.6668 0.5010  7 Ac 3.84-3.91, 5 Nd 3.86-3.92
Ac 0.1688 0.3337 0.4991  7 Ac 3.84-3.92, 5 Nd 3.86-3.92
Ac 0.5023 0.6668 0.5010  7 Ac 3.84-3.92, 5 Nd 3.86-3.92
Nd 0.4998 0.0003 0.4998  10 Ac 3.87-3.93, 2 Nd 3.90-3.92
Nd 0.1660 0.6680 0.4981  10 Ac 3.85-3.92, 1 Dy 3.89, 1 Nd 3.92
Nd 0.8337 0.3327 0.5016  10 Ac 3.85-3.92, 1 Dy 3.90, 1 Nd 3.91
Nd 0.6668 0.6664 0.0011  10 Ac 3.86-3.92, 2 Nd 3.91-3.92
Nd 0.3335 0.3330 0.9993  10 Ac 3.86-3.92, 2 Nd 3.90-3.92
Dy 0.0001 0.9997 0.0001  10 Ac 3.86-3.91, 2 Nd 3.89-3.90

Summary:
V = 747.3 Å³/f.u.
ΔE_f = 0.039 eV per atom
Calculated total energy = -4.2798 eV/atom
Symmetry = Cm

# 11
Compound: CrFe3H4
Source: Alexandria
Functional: PBE
Structure: relaxed

a = 3.7424 Å, b = 3.7424 Å, c = 4.5549 Å
α = 114.26°, β = 114.26°, γ = 90.00°
Last column: nearest neighbours and their distance in Å.
Fractional coordinates of all 8 atoms:
Cr 0.0000 0.0000 0.0000  6 H 1.87-1.93
Fe 0.5000 0.5000 0.0000  6 H 1.78-1.87
Fe 0.7500 0.2500 0.5000  6 H 1.85-1.87
Fe 0.2500 0.7500 0.5000  6 H 1.85-1.87
H 0.0000 0.5000 0.0000  4 Fe 1.85-1.87, 2 Cr 1.87
H 0.5000 0.0000 0.0000  4 Fe 1.85-1.87, 2 Cr 1.87
H 0.2598 0.2598 0.5196  5 Fe 1.78-1.87, 1 Cr 1.93
H 0.7402 0.7402 0.4804  5 Fe 1.78-1.87, 1 Cr 1.93

Summary:
V = 51.9 Å³/f.u.
Calculated total energy = -6.0620 eV/atom
Symmetry = I4/mmm

# 12
Compound: Sm3HoAu3
Source: Alexandria
Functional: PBE
Structure: relaxed

a = 7.2613 Å, b = 7.2613 Å, c = 7.2987 Å
α = 90.96°, β = 90.96°, γ = 96.61°
Last column: nearest neighbours and their distance in Å.
Fractional coordinates of all 14 atoms:
Sm 0.6470 0.6470 0.3666  3 Au 3.08-3.09
Sm 0.1776 0.8224 0.5000  6 Au 2.95-3.10
Sm 0.8224 0.1776 0.5000  6 Au 2.95-3.10
Sm 0.2572 0.7428 0.0000  6 Au 3.12-3.18
Sm 0.7428 0.2572 0.0000  6 Au 3.12-3.18
Sm 0.3530 0.3530 0.6334  3 Au 3.08-3.09
Ho 0.7453 0.7453 0.8724  4 Au 2.83-3.14
Ho 0.2547 0.2547 0.1276  4 Au 2.83-3.14
Au 0.9335 0.9335 0.1868  2 Ho 2.89-3.14, 1 Au 3.04, 5 Sm 3.05-3.18
Au 0.9826 0.5000 0.7237  1 Ho 2.83, 4 Sm 2.95-3.12
Au 0.5000 0.9826 0.7237  1 Ho 2.83, 4 Sm 2.95-3.12
Au 0.0174 0.5000 0.2763  1 Ho 2.83, 4 Sm 2.95-3.12
Au 0.5000 0.0174 0.2763  1 Ho 2.83, 4 Sm 2.95-3.12
Au 0.0665 0.0665 0.8132  2 Ho 2.89-3.14, 1 Au 3.04, 5 Sm 3.05-3.18

Summary:
V = 191.1 Å³/f.u.
ΔE_f = -0.617 eV per atom
Calculated total energy = -4.6984 eV/atom
Symmetry = C2/m

# 13
Compound: ZrTa2Ag
Source: Alexandria
Functional: PBE
Structure: relaxed

a = 5.2177 Å, b = 5.2177 Å, c = 5.3452 Å
α = 81.36°, β = 81.36°, γ = 32.65°
Last column: nearest neighbours and their distance in Å.
Fractional coordinates of all 4 atoms:
Ag 0.2596 0.2596 0.2676  3 Zr 2.89-2.96, 2 Ag 2.93, 6 Ta 2.99-3.13
Ta 0.9929 0.9929 0.9706  5 Ta 2.87-2.93, 2 Ag 2.99, 4 Zr 3.02-3.09
Ta 0.7375 0.7375 0.7889  5 Ta 2.87-2.93, 4 Ag 2.99-3.13, 1 Zr 3.04
Zr 0.5100 0.5100 0.4729  3 Ag 2.89-2.96, 2 Zr 2.93, 5 Ta 3.02-3.09

Summary:
V = 77.5 Å³/f.u.
ΔE_f = 0.272 eV per atom
Energy above the lowest structure with this stoichiometry = 173.8 meV/atom
Calculated total energy = -8.5044 eV/atom
Symmetry = Cm

# 14
Compound: Pr3Sc2Sn3
Source: Alexandria
Functional: PBE
Structure: relaxed

a = 6.4122 Å, b = 9.0759 Å, c = 9.0759 Å
α = 120.00°, β = 90.00°, γ = 90.00°
Last column: nearest neighbours and their distance in Å.
Fractional coordinates of all 16 atoms:
Pr 0.7500 0.2439 0.0000  5 Sn 3.19-3.52
Pr 0.7500 0.7561 0.7561  5 Sn 3.19-3.52
Pr 0.7500 0.0000 0.2439  5 Sn 3.19-3.52
Pr 0.2500 0.7561 0.0000  5 Sn 3.19-3.52
Pr 0.2500 0.2439 0.2439  5 Sn 3.19-3.52
Pr 0.2500 0.0000 0.7561  5 Sn 3.19-3.52
Sc 0.0000 0.3333 0.6667  6 Sn 3.20, 2 Sc 3.21
Sc 0.5000 0.6667 0.3333  6 Sn 3.20, 2 Sc 3.21
Sc 0.0000 0.6667 0.3333  6 Sn 3.20, 2 Sc 3.21
Sc 0.5000 0.3333 0.6667  6 Sn 3.20, 2 Sc 3.21
Sn 0.7500 0.5972 0.0000  5 Pr 3.19-3.52, 4 Sc 3.20
Sn 0.7500 0.4028 0.4028  5 Pr 3.19-3.52, 4 Sc 3.20
Sn 0.7500 0.0000 0.5972  5 Pr 3.19-3.52, 4 Sc 3.20
Sn 0.2500 0.4028 0.0000  5 Pr 3.19-3.52, 4 Sc 3.20
Sn 0.2500 0.5972 0.5972  5 Pr 3.19-3.52, 4 Sc 3.20
Sn 0.2500 0.0000 0.4028  5 Pr 3.19-3.52, 4 Sc 3.20

Summary:
V = 228.7 Å³/f.u.
ΔE_f = -0.674 eV per atom
Calculated total energy = -5.5501 eV/atom
Symmetry = P6_3/mcm

# 15
Compound: Pu2TiAs
Source: Alexandria
Functional: PBE
Structure: relaxed

a = 5.2563 Å, b = 3.5700 Å, c = 3.5700 Å
α = 90.00°, β = 90.00°, γ = 90.00°
Last column: nearest neighbours and their distance in Å.
Fractional coordinates of all 4 atoms:
As 0.5000 0.5000 0.5000  4 Ti 2.52
Ti 0.5000 0.0000 0.0000  4 As 2.52
Pu 0.0000 0.0000 0.5000  4 Pu 2.52
Pu 0.0000 0.5000 0.0000  4 Pu 2.52

Summary:
V = 67.0 Å³/f.u.
ΔE_f = -0.124 eV per atom
Calculated total energy = -10.4266 eV/atom
Symmetry = P4/mmm

# 16
Compound: HfNiSbI2
Source: Alexandria
Functional: PBE
Structure: relaxed

a = 5.5563 Å, b = 5.5563 Å, c = 5.7486 Å
α = 90.00°, β = 90.00°, γ = 90.00°
Last column: nearest neighbours and their distance in Å.
Fractional coordinates of all 5 atoms:
I 0.0000 0.5000 0.0000  2 Hf 2.78
I 0.5000 0.0000 0.0000  2 Hf 2.78
Sb 0.0000 0.0000 0.5000  2 Hf 2.87
Hf 0.0000 0.0000 0.0000  4 I 2.78, 2 Sb 2.87
Ni 0.5000 0.5000 0.5000  4 Sb 3.93, 8 I 4.00

Summary:
Formation energy without anion corrections = 0.619 eV per atom
V = 177.5 Å³/f.u.
Energy above the lowest structure with this stoichiometry = 49.1 meV/atom
Calculated total energy = -3.9725 eV/atom
Symmetry = P4/mmm

# 17
Compound: Zn2TeIr
Source: Alexandria
Functional: PBE
Structure: relaxed

a = 4.8765 Å, b = 4.8765 Å, c = 3.1089 Å
α = 90.00°, β = 90.00°, γ = 110.45°
Last column: nearest neighbours and their distance in Å.
Fractional coordinates of all 4 atoms:
Ir 0.5000 0.0000 0.5000  2 Te 2.78, 8 Zn 2.89, 2 Ir 3.11
Te 0.0000 0.5000 0.5000  2 Ir 2.78, 8 Zn 2.89, 2 Te 3.11
Zn 0.0000 0.0000 0.0000  4 Zn 2.78-3.11, 4 Te 2.89, 4 Ir 2.89
Zn 0.5000 0.5000 0.0000  4 Zn 2.78-3.11, 4 Ir 2.89, 4 Te 2.89

Summary:
Formation energy without anion corrections = 0.227 eV per atom
V = 69.3 Å³/f.u.
Calculated total energy = -3.4110 eV/atom
Symmetry = Cmmm

# 18
Compound: Er4Ga3Cu
Source: Alexandria
Functional: PBE
Structure: relaxed

a = 4.9692 Å, b = 7.0710 Å, c = 9.9384 Å
α = 90.00°, β = 90.00°, γ = 90.00°
Last column: nearest neighbours and their distance in Å.
Fractional coordinates of all 16 atoms:
Cu 0.0000 0.5000 0.0000  8 Er 3.04
Cu 0.0000 0.5000 0.5000  8 Er 3.04
Ga 0.0000 0.0000 0.0000  8 Er 3.06
Ga 0.0000 0.0000 0.5000  8 Er 3.06
Ga 0.4995 0.0000 0.7500  8 Er 3.06
Ga 0.5005 0.0000 0.2500  8 Er 3.06
Ga 0.4998 0.5000 0.7500  8 Er 3.04
Ga 0.5002 0.5000 0.2500  8 Er 3.04
Er 0.5000 0.7470 0.0000  2 Cu 3.04, 6 Ga 3.04-3.06
Er 0.5000 0.7470 0.5000  2 Cu 3.04, 6 Ga 3.04-3.06
Er 0.5000 0.2530 0.0000  2 Cu 3.04, 6 Ga 3.04-3.06
Er 0.5000 0.2530 0.5000  2 Cu 3.04, 6 Ga 3.04-3.06
Er 0.9998 0.7470 0.7500  6 Ga 3.04-3.06, 2 Cu 3.04
Er 0.0002 0.7470 0.2500  6 Ga 3.04-3.06, 2 Cu 3.04
Er 0.0002 0.2530 0.2500  6 Ga 3.04-3.06, 2 Cu 3.04
Er 0.9998 0.2530 0.7500  6 Ga 3.04-3.06, 2 Cu 3.04

Summary:
V = 174.6 Å³/f.u.
ΔE_f = -0.502 eV per atom
Energy above the lowest structure with this stoichiometry = 7.6 meV/atom
Calculated total energy = -4.4306 eV/atom
Symmetry = P4/mmm

# 19
Compound: Th2WSe
Source: Alexandria
Functional: PBE
Structure: relaxed

a = 3.5103 Å, b = 3.5103 Å, c = 10.0131 Å
α = 79.90°, β = 79.90°, γ = 60.00°
Last column: nearest neighbours and their distance in Å.
Fractional coordinates of all 4 atoms:
Se 0.5000 0.5000 0.5000  6 Th 3.01
W 0.0000 0.0000 0.0000  2 Th 2.68
Th 0.0910 0.0910 0.7270  1 W 2.68
Th 0.9090 0.9090 0.2730  1 W 2.68

Summary:
Formation energy without anion corrections = 0.323 eV per atom
V = 104.6 Å³/f.u.
Calculated total energy = -7.4962 eV/atom
Symmetry = R-3m